# 1
Here is a PBEsol-optimized structure of Cs from Alexandria. Energies are from meta-GGA SCAN.

## Properties
Its density of states at the Fermi level is 4.39 states/eV per cell. As for the distance to the lowest polymorph of the same formula: 5.06 kJ/mol of atoms. For the formation energy, the calculation gives 5.1 kJ/mol of formula units. For the uncorrected energy, the calculation gives -37.76 eV/atom.

Cell and atoms, written as CIF:
```
data_Cs
_chemical_formula_sum 'Cs4'
_cell_length_a 5.003
_cell_length_b 5.003
_cell_length_c 18.084
_cell_angle_alpha 90.00
_cell_angle_beta 90.00
_cell_angle_gamma 90.00
_symmetry_space_group_name_H-M 'I 41/a m d'
_symmetry_Int_Tables_number 141
loop_
_symmetry_equiv_pos_as_xyz
'x,y,z'
'-x,-y,-z'
'-y+1/4,x+3/4,z+1/4'
'y+1/4,-x+3/4,-z+1/4'
'-x+1/2,-y,z+1/2'
'x+1/2,y,-z+1/2'
'y+1/4,-x+1/4,z+3/4'
'-y+1/4,x+1/4,-z+3/4'
'x,-y,-z'
'-x,y,z'
'-y+1/4,-x+1/4,-z+3/4'
'y+1/4,x+1/4,z+3/4'
'-x+1/2,y,-z+1/2'
'x+1/2,-y,z+1/2'
'y+1/4,x+3/4,-z+1/4'
'-y+1/4,-x+3/4,z+1/4'
'x+1/2,y+1/2,z+1/2'
'-x+1/2,-y+1/2,-z+1/2'
'-y+3/4,x+1/4,z+3/4'
'y+3/4,-x+1/4,-z+3/4'
'-x,-y+1/2,z'
'x,y+1/2,-z'
'y+3/4,-x+3/4,z+1/4'
'-y+3/4,x+3/4,-z+1/4'
'x+1/2,-y+1/2,-z+1/2'
'-x+1/2,y+1/2,z+1/2'
'-y+3/4,-x+3/4,-z+1/4'
'y+3/4,x+3/4,z+1/4'
'-x,y+1/2,-z'
'x,-y+1/2,z'
'y+3/4,x+1/4,-z+3/4'
'-y+3/4,-x+1/4,z+3/4'
loop_
_atom_site_label
_atom_site_fract_x
_atom_site_fract_y
_atom_site_fract_z
Cs1 0.000 0.250 0.375
```

***

# 2
Here is a PBEsol-optimized structure of ZnSbAu2 from Alexandria. Energies are from meta-GGA SCAN.

## Properties
Its density of states at the Fermi level is 4.82 states/eV per cell. As for the distance to the lowest polymorph of the same formula: 8.49 kJ/mol of atoms. For the uncorrected energy, the calculation gives -47.29 eV/atom.

Cell and atoms, written as CIF:
```
data_ZnSbAu2
_chemical_formula_sum 'Zn3 Sb3 Au6'
_cell_length_a 3.7603
_cell_length_b 3.7603
_cell_length_c 19.9104
_cell_angle_alpha 90.00
_cell_angle_beta 90.00
_cell_angle_gamma 120.00
_symmetry_space_group_name_H-M 'R 3 m'
_symmetry_Int_Tables_number 160
_symmetry_space_group_name_Hall 'R 3 -2"'
loop_
_atom_site_label
_atom_site_fract_x
_atom_site_fract_y
_atom_site_fract_z
Zn1 0.0000 0.0000 0.0000
Sb1 0.0000 0.0000 0.7619
Au1 0.0000 0.0000 0.2650
Au2 0.0000 0.0000 0.5141
```